1.
First-principles (GGA-PBE) data for an optimized crystal structure of Hf12In3Pb, as listed in Alexandria via LeMat-Bulk.

Cell lengths 4.4352, 4.4352, 17.7710 Å; angles 90.00, 90.00, 90.00 degrees
With the nearest neighbours (Å) after each atom.
Atoms (fractional coordinates):
Hf 0.0000 0.0000 0.0000  8 Hf 3.13, 4 In 3.14
Hf 0.0000 0.0000 0.2481  8 Hf 3.13, 4 In 3.14
Hf 0.0000 0.0000 0.5000  4 Pb 3.14, 8 Hf 3.17
Hf 0.0000 0.0000 0.7519  8 Hf 3.13, 4 In 3.14
Hf 0.0000 0.5000 0.1242  8 Hf 3.13-3.14, 4 In 3.13
Hf 0.0000 0.5000 0.3721  2 In 3.12, 8 Hf 3.13-3.17, 2 Pb 3.17
Hf 0.0000 0.5000 0.6279  2 In 3.12, 8 Hf 3.13-3.17, 2 Pb 3.17
Hf 0.0000 0.5000 0.8758  8 Hf 3.13-3.14, 4 In 3.13
Hf 0.5000 0.0000 0.1242  8 Hf 3.13-3.14, 4 In 3.13
Hf 0.5000 0.0000 0.3721  2 In 3.12, 8 Hf 3.13-3.17, 2 Pb 3.17
Hf 0.5000 0.0000 0.6279  2 In 3.12, 8 Hf 3.13-3.17, 2 Pb 3.17
Hf 0.5000 0.0000 0.8758  8 Hf 3.13-3.14, 4 In 3.13
In 0.5000 0.5000 0.0000  12 Hf 3.13-3.14
In 0.5000 0.5000 0.2487  12 Hf 3.12-3.14
In 0.5000 0.5000 0.7513  12 Hf 3.12-3.14
Pb 0.5000 0.5000 0.5000  12 Hf 3.14-3.17

Output
Density: 12.795 Mg/m³
ΔE_f: -10.3 kJ per mole of atoms
Calculated total energy: -8.3168 eV/atom

***

2.
First-principles (GGA-PBE) data for an optimized crystal structure of YAl2P, as listed in Alexandria via LeMat-Bulk.

Cell lengths 4.3368, 4.3368, 4.5497 Å; angles 90.00, 90.00, 101.03 degrees
With the nearest neighbours (Å) after each atom.
Atoms (fractional coordinates):
Y 0.0000 0.0000 0.0000  2 P 2.76, 4 Al 3.07
Al 0.3089 0.6911 0.5000  1 Al 2.56, 2 P 2.61
Al 0.6911 0.3089 0.5000  1 Al 2.56, 2 P 2.61
P 0.5000 0.5000 0.0000  4 Al 2.61, 2 Y 2.76

Output
Density: 3.437 Mg/m³
ΔE_f: -34.4 kJ per mole of atoms
Calculated total energy: -5.1964 eV/atom

***

3.
First-principles (GGA-PBE) data for an optimized crystal structure of Ni2PbCl, as listed in Alexandria via LeMat-Bulk.

Cell lengths 3.2548, 3.6972, 6.1695 Å; angles 90.00, 90.00, 90.00 degrees
With the nearest neighbours (Å) after each atom.
Atoms (fractional coordinates):
Ni 0.0000 0.0000 0.2010  2 Cl 2.46, 1 Ni 2.48
Ni 0.0000 0.0000 0.7990  2 Cl 2.46, 1 Ni 2.48
Pb 0.5000 0.5000 0.0000  8 Ni 2.76
Cl 0.5000 0.0000 0.5000  4 Ni 2.46

Output
Density: 8.053 Mg/m³
Calculated total energy: -4.1677 eV/atom
ΔE_f (raw): 2.58 kcal/mol of atoms
ΔE to the lowest computed polymorph: 62 meV per atom

***

4.
First-principles (GGA-PBE) data for an optimized crystal structure of Pr2NdGe2Pd2, as listed in Alexandria via LeMat-Bulk.

Cell lengths 10.0776, 10.0776, 10.0776 Å; angles 25.77, 25.77, 25.77 degrees
With the nearest neighbours (Å) after each atom.
Atoms (fractional coordinates):
Pr 0.1238 0.1238 0.1238  3 Ge 3.02, 3 Pd 3.16
Pr 0.8762 0.8762 0.8762  3 Ge 3.02, 3 Pd 3.16
Nd 0.0000 0.0000 0.0000  6 Pd 3.16, 6 Ge 3.32
Ge 0.2627 0.2627 0.2627  3 Pd 2.61
Ge 0.7373 0.7373 0.7373  3 Pd 2.61
Pd 0.3953 0.3953 0.3953  3 Ge 2.61
Pd 0.6047 0.6047 0.6047  3 Ge 2.61

Output
Density: 7.645 Mg/m³
ΔE_f: -74.7 kJ per mole of atoms
Calculated total energy: -5.6238 eV/atom

***

5.
First-principles (GGA-PBE) data for an optimized crystal structure of Ti2SBr, as listed in Alexandria via LeMat-Bulk.

Cell lengths 4.4656, 4.4656, 4.4656 Å; angles 60.00, 60.00, 60.00 degrees
With the nearest neighbours (Å) after each atom.
Atoms (fractional coordinates):
Ti 0.2500 0.2500 0.2500  4 S 2.73, 4 Br 2.73
Ti 0.7500 0.7500 0.7500  4 S 2.73, 4 Br 2.73
S 0.0000 0.0000 0.0000  8 Ti 2.73
Br 0.5000 0.5000 0.5000  8 Ti 2.73

Output
Density: 5.477 Mg/m³
Calculated total energy: -5.9265 eV/atom
ΔE_f (raw): -12.20 kcal/mol of atoms
ΔE to the lowest computed polymorph: 0 meV per atom

***

6.
First-principles (GGA-PBE) data for an optimized crystal structure of ReSeO2, as listed in Alexandria via LeMat-Bulk.

Cell lengths 8.8949, 8.8949, 8.8949 Å; angles 17.89, 17.89, 17.89 degrees
With the nearest neighbours (Å) after each atom.
Atoms (fractional coordinates):
Re 0.0000 0.0000 0.0000  6 O 2.07
Se 0.5000 0.5000 0.5000  6 Se 2.77, 2 O 3.06
O 0.3834 0.3834 0.3834  3 Re 2.07
O 0.6166 0.6166 0.6166  3 Re 2.07

Output
Density: 8.514 Mg/m³
Calculated total energy: -7.0722 eV/atom
ΔE_f (raw): -14.06 kcal/mol of atoms
ΔE to the lowest computed polymorph: 0 meV per atom

***

7.
First-principles (GGA-PBE) data for an optimized crystal structure of TiTcSb2Br, as listed in Alexandria via LeMat-Bulk.

Cell lengths 5.5030, 5.5030, 4.5605 Å; angles 90.00, 90.00, 90.00 degrees
With the nearest neighbours (Å) after each atom.
Atoms (fractional coordinates):
Ti 0.0000 0.0000 0.0000  2 Br 2.28
Tc 0.5000 0.5000 0.0000  8 Sb 3.57, 4 Ti 3.89
Sb 0.0000 0.5000 0.5000  2 Br 2.75
Sb 0.5000 0.0000 0.5000  2 Br 2.75
Br 0.0000 0.0000 0.5000  2 Ti 2.28

Output
Density: 5.643 Mg/m³
Calculated total energy: -4.2511 eV/atom
ΔE_f (raw): 31.93 kcal/mol of atoms

***

8.
First-principles (GGA-PBE) data for an optimized crystal structure of Er3TmMg3, as listed in Alexandria via LeMat-Bulk.

Cell lengths 7.6706, 7.6706, 6.8510 Å; angles 90.03, 90.03, 92.51 degrees
With the nearest neighbours (Å) after each atom.
Atoms (fractional coordinates):
Er 0.0000 0.0000 0.2460  4 Mg 3.30-3.37, 2 Er 3.37-3.48
Er 0.0000 0.0000 0.7540  4 Mg 3.30-3.37, 2 Er 3.37-3.48
Er 0.9999 0.5002 0.2519  6 Mg 3.16-3.26, 2 Tm 3.33, 2 Er 3.40-3.45
Er 0.0001 0.4998 0.7481  6 Mg 3.16-3.26, 2 Tm 3.33, 2 Er 3.40-3.45
Er 0.5002 0.9999 0.2519  6 Mg 3.16-3.26, 2 Tm 3.33, 2 Er 3.40-3.45
Er 0.4998 0.0001 0.7481  6 Mg 3.16-3.26, 2 Tm 3.33, 2 Er 3.40-3.45
Tm 0.3106 0.3106 0.0006  6 Er 3.33-3.70, 4 Mg 3.37-3.45
Tm 0.6894 0.6894 0.9994  6 Er 3.33-3.70, 4 Mg 3.37-3.45
Mg 0.2559 0.7441 0.0000  6 Er 3.16-3.30, 2 Tm 3.37, 2 Mg 3.51
Mg 0.2716 0.2716 0.5002  2 Mg 3.11, 6 Er 3.26-3.37, 2 Tm 3.45
Mg 0.3240 0.6760 0.5000  2 Mg 3.11, 4 Er 3.25-3.26
Mg 0.6760 0.3240 0.5000  2 Mg 3.11, 4 Er 3.25-3.26
Mg 0.7284 0.7284 0.4998  2 Mg 3.11, 6 Er 3.26-3.37, 2 Tm 3.45
Mg 0.7441 0.2559 0.0000  6 Er 3.16-3.30, 2 Tm 3.37, 2 Mg 3.51

Output
Density: 6.133 Mg/m³
ΔE_f: 9.1 kJ per mole of atoms
Calculated total energy: -3.1835 eV/atom